The following is a DFT calculation (PBE) of a relaxed structure of K4Rb3Na3Hg2.

Summary:
Energy of formation from the pure elements   -0.059 eV/atom
Final energy   -12.56 eV/cell
Calculated density   2.134 Mg/m³
Space group   Imm2, No. 44
DOS(E_F)   6.18 states/eV/f.u.

```
K4Rb3Na3Hg2
1.0
-0.361 -5.625 -6.563
2.421 -3.481 2.850
-14.702 -0.674 7.088
K Rb Hg Na
4 3 2 3
Cartesian
-5.215 -2.396 1.504 K
-7.479 -8.209 0.908 K
-10.304 -5.477 6.644 K
-2.249 -2.938 -1.677 K
0.967 -5.544 -3.013 Rb
-3.640 -7.055 -0.945 Rb
-9.096 -4.195 2.605 Rb
-2.744 -5.482 -4.363 Hg
-10.119 -7.761 3.698 Hg
-11.466 -7.272 0.860 Na
-0.006 -0.101 -0.118 Na
-1.194 -2.804 2.168 Na
```